Record 1
Density functional theory data (PBE) for a relaxed structure of TbSmLuTh.

a = 5.665 Å, b = 5.665 Å, c = 5.665 Å
α = 60.00°, β = 60.00°, γ = 60.00°
Positions (direct):
Lu (0.500, 0.500, 0.500)
Tb (0.000, 0.000, 0.000)
Sm (0.250, 0.250, 0.250)
Th (0.750, 0.750, 0.750)

## Properties
uncorrected energy = -5.19 eV/atom
Fermi-level density of states = 1.981 states/eV/atom
space group = F-43m (216)

---

Record 2
Density functional theory data (PBE) for a relaxed structure of TbSmTmLu.

a = 5.634 Å, b = 5.634 Å, c = 5.634 Å
α = 60.00°, β = 60.00°, γ = 60.00°
Positions (direct):
Tb (0.500, 0.500, 0.500)
Lu (0.750, 0.750, 0.750)
Tm (0.250, 0.250, 0.250)
Sm (0.000, 0.000, 0.000)

## Properties
uncorrected energy = -4.48 eV/atom
Fermi-level density of states = 1.654 states/eV/atom
space group = F-43m (216)

---

Record 3
Density functional theory data (PBE) for a relaxed structure of TbSmLuZn.

a = 5.335 Å, b = 5.335 Å, c = 5.335 Å
α = 60.00°, β = 60.00°, γ = 60.00°
Positions (direct):
Zn (0.250, 0.250, 0.250)
Lu (0.750, 0.750, 0.750)
Tb (0.500, 0.500, 0.500)
Sm (0.000, 0.000, 0.000)

## Properties
uncorrected energy = -3.77 eV/atom
Fermi-level density of states = 1.055 states/eV/atom
space group = F-43m (216)

---

Record 4
Density functional theory data (PBE) for a relaxed structure of TbSmLuZr.

a = 5.487 Å, b = 5.487 Å, c = 5.487 Å
α = 60.00°, β = 60.00°, γ = 60.00°
Last column: magnetic moment on the atom in μB.
Positions (direct):
Lu (0.000, 0.000, 0.000)  0.17
Tb (0.500, 0.500, 0.500)  0.25
Sm (0.750, 0.750, 0.750)  0.02
Zr (0.250, 0.250, 0.250)  0.69

## Properties
uncorrected energy = -5.39 eV/atom
Fermi-level density of states = 1.931 states/eV/atom
space group = F-43m (216)

---

Record 5
Density functional theory data (PBE) for a relaxed structure of Sm2LuTc.

a = 3.445 Å, b = 3.445 Å, c = 11.073 Å
α = 81.05°, β = 81.05°, γ = 60.00°
Positions (direct):
Lu (0.000, 0.000, 0.000)
Tc (0.500, 0.500, 0.500)
Sm (0.103, 0.103, 0.691)
Sm (0.897, 0.897, 0.309)

## Properties
uncorrected energy = -5.73 eV/atom
Fermi-level density of states = 1.109 states/eV/atom
space group = R-3m (166)

---

Record 6
Density functional theory data (PBE) for a relaxed structure of SmLuTc4.

a = 5.407 Å, b = 5.407 Å, c = 5.407 Å
α = 60.00°, β = 60.00°, γ = 60.00°
Positions (direct):
Lu (0.000, 0.000, 0.000)
Tc (0.625, 0.625, 0.125)
Tc (0.625, 0.125, 0.625)
Tc (0.625, 0.625, 0.625)
Tc (0.125, 0.625, 0.625)
Sm (0.250, 0.250, 0.250)

## Properties
uncorrected energy = -8.56 eV/atom
Fermi-level density of states = 1.500 states/eV/atom
space group = F-43m (216)